Entry 1:
GdCuSnSe3 | PBE | relaxed

a b c (Å): 7.0496 7.0496 10.6551
angles (deg): 90.00 90.00 146.70
Fractional positions:
Gd1 0.0000 0.0000 0.0000
Gd2 0.0000 0.0000 0.5000
Cu1 0.4696 0.5304 0.7500
Cu2 0.5304 0.4696 0.2500
Sn1 0.2385 0.7615 0.2500
Sn2 0.7615 0.2385 0.7500
Se1 0.0825 0.9175 0.7500
Se2 0.3561 0.6439 0.5689
Se3 0.3561 0.6439 0.9311
Se4 0.6439 0.3561 0.0689
Se5 0.6439 0.3561 0.4311
Se6 0.9175 0.0825 0.2500

Properties
The value obtained for the total moment is 0.001 μB per atom. Its total DFT energy (no corrections) is -4.7564 eV per atom. As for the space-group type: Cmcm (63). As for the crystal system: orthorhombic.


Entry 2:
PmCoPt | PBE | relaxed

a b c (Å): 6.5340 6.5340 6.5340
angles (deg): 90.00 90.00 90.00
Fractional positions:
Pm1 0.0000 0.0000 0.0000
Pm2 0.0000 0.5000 0.5000
Pm3 0.5000 0.0000 0.5000
Pm4 0.5000 0.5000 0.0000
Co1 0.2500 0.2500 0.7500
Co2 0.2500 0.7500 0.2500
Co3 0.7500 0.2500 0.2500
Co4 0.7500 0.7500 0.7500
Pt1 0.2500 0.2500 0.2500
Pt2 0.2500 0.7500 0.7500
Pt3 0.7500 0.2500 0.7500
Pt4 0.7500 0.7500 0.2500

Properties
The value obtained for the total moment is 0.502 μB per atom. Its total DFT energy (no corrections) is -5.6562 eV per atom. As for the space-group type: F-43m (216). As for the crystal system: cubic.


Entry 3:
UReAu | PBE | relaxed

a b c (Å): 6.4819 6.4819 6.4819
angles (deg): 90.00 90.00 90.00
Fractional positions:
U1 0.0000 0.0000 0.0000
U2 0.0000 0.5000 0.5000
U3 0.5000 0.0000 0.5000
U4 0.5000 0.5000 0.0000
Re1 0.2500 0.2500 0.7500
Re2 0.2500 0.7500 0.2500
Re3 0.7500 0.2500 0.2500
Re4 0.7500 0.7500 0.7500
Au1 0.2500 0.2500 0.2500
Au2 0.2500 0.7500 0.7500
Au3 0.7500 0.2500 0.7500
Au4 0.7500 0.7500 0.2500

Properties
The value obtained for the total moment is 0.004 μB per atom. Its total DFT energy (no corrections) is -8.1276 eV per atom. As for the space-group type: F-43m (216). As for the crystal system: cubic.


Entry 4:
HfInFePd | PBE | relaxed

a b c (Å): 6.5613 6.5613 6.5613
angles (deg): 90.00 90.00 90.00
Fractional positions:
Hf1 0.0000 0.0000 0.0000
Hf2 0.0000 0.5000 0.5000
Hf3 0.5000 0.0000 0.5000
Hf4 0.5000 0.5000 0.0000
In1 0.2500 0.2500 0.7500
In2 0.2500 0.7500 0.2500
In3 0.7500 0.2500 0.2500
In4 0.7500 0.7500 0.7500
Fe1 0.0000 0.0000 0.5000
Fe2 0.0000 0.5000 0.0000
Fe3 0.5000 0.0000 0.0000
Fe4 0.5000 0.5000 0.5000
Pd1 0.2500 0.2500 0.2500
Pd2 0.2500 0.7500 0.7500
Pd3 0.7500 0.2500 0.7500
Pd4 0.7500 0.7500 0.2500

Properties
The value obtained for the total moment is 0.647 μB per atom. Its total DFT energy (no corrections) is -6.5927 eV per atom. As for the space-group type: F-43m (216). As for the crystal system: cubic.


Entry 5:
ZnSnSO | PBE | relaxed

a b c (Å): 5.9614 3.4493 15.6368
angles (deg): 90.00 90.00 90.00
Fractional positions:
Zn1 0.2363 0.2500 0.0850
Zn2 0.2637 0.7500 0.5850
Zn3 0.7363 0.2500 0.4150
Zn4 0.7637 0.7500 0.9150
Sn1 0.1761 0.7500 0.3205
Sn2 0.3239 0.2500 0.8205
Sn3 0.6761 0.7500 0.1795
Sn4 0.8239 0.2500 0.6795
S1 0.1500 0.7500 0.9220
S2 0.3500 0.2500 0.4220
S3 0.6500 0.7500 0.5780
S4 0.8500 0.2500 0.0780
O1 0.1229 0.2500 0.6084
O2 0.3771 0.7500 0.1084
O3 0.6229 0.2500 0.8916
O4 0.8771 0.7500 0.3916

Properties
Its total DFT energy (no corrections) is -4.3660 eV per atom. As for the space-group type: Pnma (62). As for the crystal system: orthorhombic.


Entry 6:
Te3WSBr | PBE | relaxed

a b c (Å): 6.6488 8.4671 8.6680
angles (deg): 117.30 105.36 97.09
Fractional positions:
Te1 0.0412 0.2578 0.0014
Te2 0.1172 0.0899 0.2988
Te3 0.3723 0.6824 0.7739
Te4 0.6277 0.3176 0.2261
Te5 0.8828 0.9101 0.7012
Te6 0.9588 0.7422 0.9986
W1 0.2847 0.9998 0.0001
W2 0.7153 0.0002 0.9999
S1 0.4753 0.1388 0.8672
S2 0.5247 0.8612 0.1328
Br1 0.2380 0.6274 0.4116
Br2 0.7620 0.3726 0.5884

Properties
The value obtained for the total moment is 0.000 μB per atom. Its total DFT energy (no corrections) is -4.9551 eV per atom. As for the space-group type: P-1 (2). As for the crystal system: triclinic.


Q: Number 6 is which compound?
A: Te3WSBr


Repeat the first record exactly.
GdCuSnSe3 | PBE | relaxed

a b c (Å): 7.0496 7.0496 10.6551
angles (deg): 90.00 90.00 146.70
Fractional positions:
Gd1 0.0000 0.0000 0.0000
Gd2 0.0000 0.0000 0.5000
Cu1 0.4696 0.5304 0.7500
Cu2 0.5304 0.4696 0.2500
Sn1 0.2385 0.7615 0.2500
Sn2 0.7615 0.2385 0.7500
Se1 0.0825 0.9175 0.7500
Se2 0.3561 0.6439 0.5689
Se3 0.3561 0.6439 0.9311
Se4 0.6439 0.3561 0.0689
Se5 0.6439 0.3561 0.4311
Se6 0.9175 0.0825 0.2500

Properties
The value obtained for the total moment is 0.001 μB per atom. Its total DFT energy (no corrections) is -4.7564 eV per atom. As for the space-group type: Cmcm (63). As for the crystal system: orthorhombic.


Q: Look up the total DFT energy (no corrections) of the first one.
A: -4.7564 eV per atom